Tm3Zr2Sb3 (GGA-PBE, optimized geometry); symmetry = P6_3/mcm (193); total magnetization = 0.00 μB/f.u.; calculated total energy = -6.214 eV/atom
1.0
8.729 0.000 0.000
-4.364 7.560 0.000
0.000 0.000 5.973
Tm Zr Sb
6 4 6
Direct
0.000 0.250 0.250
0.000 0.750 0.750
0.250 0.000 0.250
0.250 0.250 0.750
0.750 0.000 0.750
0.750 0.750 0.250
0.333 0.667 0.000
0.333 0.667 0.500
0.667 0.333 0.000
0.667 0.333 0.500
0.000 0.392 0.750
0.000 0.608 0.250
0.392 0.000 0.750
0.392 0.392 0.250
0.608 0.000 0.250
0.608 0.608 0.750